Here is a geometry-optimized Th2CoP3Rh12 structure from Alexandria. Energies are from PBE-GGA.

Properties
DFT formation energy: -0.293 eV per atom
total magnetic moment: 2.2 μB/f.u.
space group: No. 166
calculated density: 9.85 Mg/m³

```
Th2CoP3Rh12
1.0
6.972 -0.802 -0.569
2.746 6.458 -0.569
2.746 1.598 6.283
Rh P Th Co
12 3 2 1
Direct
0.663 0.092 0.663
0.852 0.852 0.361
0.663 0.663 0.092
0.148 0.639 0.148
0.092 0.663 0.663
0.337 0.337 0.908
0.148 0.148 0.639
0.639 0.148 0.148
0.908 0.337 0.337
0.337 0.908 0.337
0.361 0.852 0.852
0.852 0.361 0.852
0.000 0.000 0.500
0.000 0.500 0.000
0.500 0.000 0.000
0.612 0.612 0.612
0.388 0.388 0.388
0.000 0.000 0.000
```